Rb2VOs | Alexandria | PBE | relaxed; calculated density = 5.3 Mg/m³; DFT total energy = -3.309 eV per atom; calculated formation energy = 2262 meV per atom
1.0
-0.699 3.796 4.179
-5.239 1.462 1.667
-1.943 -1.682 5.075
Rb Os V
2 1 1
direct
0.250 0.250 0.250 Rb
0.750 0.750 0.750 Rb
0.500 0.500 0.500 Os
0.000 0.000 0.000 V